## KCo3 (PBE)

Data for an optimized crystal structure of KCo3.

Lattice parameters (Å, degrees): 7.1097 7.1097 3.9167 90.00 90.00 120.00
Last column: nearest neighbours and their distance in Å.
Fractional coordinates of all 8 atoms:
Co1 0.1095 0.8905 0.2500  6 Co 2.34-2.38
Co2 0.1095 0.2190 0.2500  6 Co 2.34-2.38
Co3 0.8905 0.1095 0.7500  6 Co 2.34-2.38
Co4 0.8905 0.7810 0.7500  6 Co 2.34-2.38
K1 0.3333 0.6667 0.7500  12 Co 3.38-3.62
K2 0.6667 0.3333 0.2500  12 Co 3.38-3.62
Co5 0.7810 0.8905 0.2500  6 Co 2.34-2.38
Co6 0.2190 0.1095 0.7500  6 Co 2.34-2.38

## Properties
space group = P6_3/mmc (194)
electronic total energy = -38.9 eV/cell
size of the total moment = 10.73 μB per cell



## CdTePbO (PBE)

Data for an optimized crystal structure of CdTePbO.

Lattice parameters (Å, degrees): 6.7115 8.6018 7.5551 90.00 90.00 90.00
Last column: nearest neighbours and their distance in Å.
Fractional coordinates of all 16 atoms:
Cd1 0.7671 0.6869 0.4387  2 O 2.16-2.21
Pb1 0.6894 0.2279 0.3986  1 O 2.15
Cd2 0.2671 0.8131 0.5613  2 O 2.16-2.21
Te1 0.0096 0.9766 0.2740  2 Cd 2.85-3.11
O1 0.5243 0.2556 0.1562  1 Pb 2.15, 2 Cd 2.16-2.21
Te2 0.5096 0.5234 0.7260  2 Cd 2.85-3.11
Te3 0.9904 0.4766 0.2260  2 Cd 2.85-3.11
Cd3 0.7329 0.3131 0.9387  2 O 2.16-2.21
Pb2 0.8106 0.7721 0.8986  1 O 2.15
Pb3 0.3106 0.7279 0.1014  1 O 2.15
O2 0.9757 0.7444 0.6562  1 Pb 2.15, 2 Cd 2.16-2.21
O3 0.0243 0.2444 0.8438  1 Pb 2.15, 2 Cd 2.16-2.21
Te4 0.4904 0.0234 0.7740  2 Cd 2.85-3.11
Cd4 0.2329 0.1869 0.0613  2 O 2.16-2.21
Pb4 0.1894 0.2721 0.6014  1 O 2.15
O4 0.4757 0.7556 0.3438  1 Pb 2.15, 2 Cd 2.16-2.21

## Properties
space group = P2_12_12_1 (19)
electronic total energy = -60.2 eV/cell



## Sr2GdBiO6 (PBE)

Data for an optimized crystal structure of Sr2GdBiO6.

Lattice parameters (Å, degrees): 5.9088 6.0300 10.2564 90.00 124.91 90.00
Last column: nearest neighbours and their distance in Å.
Fractional coordinates of all 20 atoms:
O1 0.8609 0.2889 0.5527  1 Bi 2.12, 1 Gd 2.27
O2 0.2367 0.3028 0.9488  1 Bi 2.12, 1 Gd 2.26
Gd1 0.5000 0.5000 0.5000  6 O 2.26-2.27
O3 0.6602 0.4646 0.7592  1 Bi 2.12, 1 Gd 2.26
O4 0.6602 0.0354 0.2592  1 Bi 2.12, 1 Gd 2.26
O5 0.2367 0.1972 0.4488  1 Bi 2.12, 1 Gd 2.26
O6 0.3398 0.9646 0.7408  1 Bi 2.12, 1 Gd 2.26
O7 0.3398 0.5354 0.2408  1 Bi 2.12, 1 Gd 2.26
O8 0.1391 0.7111 0.4472  1 Bi 2.12, 1 Gd 2.27
O9 0.1391 0.7889 0.9473  1 Bi 2.12, 1 Gd 2.27
Sr1 0.7620 0.0463 0.7506  4 O 2.49-2.61
Gd2 0.5000 0.0000 0.0000  6 O 2.26-2.27
O10 0.7633 0.8028 0.5512  1 Bi 2.12, 1 Gd 2.26
Sr2 0.7620 0.4537 0.2506  4 O 2.49-2.61
Sr3 0.2379 0.9537 0.2494  4 O 2.49-2.61
Sr4 0.2379 0.5463 0.7494  4 O 2.49-2.61
Bi1 0.0000 0.5000 0.0000  6 O 2.12
Bi2 0.0000 0.0000 0.5000  6 O 2.12
O11 0.7633 0.6972 0.0512  1 Bi 2.12, 1 Gd 2.26
O12 0.8609 0.2111 0.0527  1 Bi 2.12, 1 Gd 2.27

## Properties
space group = P2_1/c (14)
electronic total energy = -132.1 eV/cell
size of the total moment = 0.01 μB per cell



## SmNbAsO (PBE)

Data for an optimized crystal structure of SmNbAsO.

Lattice parameters (Å, degrees): 4.1992 4.8967 6.9573 90.00 90.00 90.00
Last column: nearest neighbours and their distance in Å.
Fractional coordinates of all 8 atoms:
Sm1 0.5000 0.1735 0.0905  3 O 2.55-2.80
Sm2 0.5000 0.8265 0.5905  3 O 2.55-2.80
As1 0.0000 0.8475 0.2887  3 Nb 2.63-2.69
O1 0.5000 0.6454 0.9359  2 Nb 2.10
Nb1 0.0000 0.3538 0.4390  2 O 2.10
Nb2 0.0000 0.6462 0.9390  2 O 2.10
As2 0.0000 0.1525 0.7887  3 Nb 2.63-2.69
O2 0.5000 0.3546 0.4359  2 Nb 2.10

## Properties
space group = Pmc2_1 (26)
electronic total energy = -61.9 eV/cell
size of the total moment = 0.00 μB per cell



## Ta16Ni13 (PBE)

Data for an optimized crystal structure of Ta16Ni13.

Lattice parameters (Å, degrees): 8.2639 8.2639 8.2639 109.47 109.47 109.47
Last column: nearest neighbours and their distance in Å.
Fractional coordinates of all 29 atoms:
Ni1 0.1834 0.8117 0.8117  3 Ni 2.47-2.54, 5 Ta 2.62-2.70
Ta1 0.0000 0.0000 0.6911  7 Ni 2.55-2.70
Ta2 0.7123 0.3115 0.3115  5 Ni 2.62-2.85, 7 Ta 2.87-2.88
Ni2 0.8117 0.1834 0.8117  3 Ni 2.47-2.54, 5 Ta 2.62-2.70
Ni3 0.8166 0.6284 0.6284  3 Ni 2.47-2.54, 5 Ta 2.62-2.70
Ni4 0.1883 0.0000 0.3716  3 Ni 2.47-2.54, 5 Ta 2.62-2.70
Ta3 0.5992 0.2877 0.5992  5 Ni 2.62-2.85, 7 Ta 2.87-2.88
Ni5 0.3716 0.0000 0.1883  3 Ni 2.47-2.54, 5 Ta 2.62-2.70
Ta4 0.0000 0.4008 0.6885  5 Ni 2.62-2.85, 7 Ta 2.87-2.88
Ta5 0.6885 0.4008 0.0000  5 Ni 2.62-2.85, 7 Ta 2.87-2.88
Ni6 0.1883 0.3716 0.0000  3 Ni 2.47-2.54, 5 Ta 2.62-2.70
Ni7 0.8117 0.8117 0.1834  3 Ni 2.47-2.54, 5 Ta 2.62-2.70
Ta6 0.3115 0.7123 0.3115  5 Ni 2.62-2.85, 7 Ta 2.87-2.88
Ta7 0.3115 0.3115 0.7123  5 Ni 2.62-2.85, 7 Ta 2.87-2.88
Ta8 0.6911 0.0000 0.0000  7 Ni 2.55-2.70
Ta9 0.6885 0.0000 0.4008  5 Ni 2.62-2.85, 7 Ta 2.87-2.88
Ni8 0.0000 0.3716 0.1883  3 Ni 2.47-2.54, 5 Ta 2.62-2.70
Ni9 0.6284 0.8166 0.6284  3 Ni 2.47-2.54, 5 Ta 2.62-2.70
Ta10 0.5992 0.5992 0.2877  5 Ni 2.62-2.85, 7 Ta 2.87-2.88
Ta11 0.3089 0.3089 0.3089  7 Ni 2.55-2.70
Ni10 0.6284 0.6284 0.8166  3 Ni 2.47-2.54, 5 Ta 2.62-2.70
Ta12 0.2877 0.5992 0.5992  5 Ni 2.62-2.85, 7 Ta 2.87-2.88
Ni11 0.0000 0.1883 0.3716  3 Ni 2.47-2.54, 5 Ta 2.62-2.70
Ta13 0.4008 0.6885 0.0000  5 Ni 2.62-2.85, 7 Ta 2.87-2.88
Ta14 0.4008 0.0000 0.6885  5 Ni 2.62-2.85, 7 Ta 2.87-2.88
Ta15 0.0000 0.6885 0.4008  5 Ni 2.62-2.85, 7 Ta 2.87-2.88
Ni12 0.0000 0.0000 0.0000  4 Ta 2.55
Ni13 0.3716 0.1883 0.0000  3 Ni 2.47-2.54, 5 Ta 2.62-2.70
Ta16 0.0000 0.6911 0.0000  7 Ni 2.55-2.70

## Properties
space group = I-43m (217)
electronic total energy = -263.6 eV/cell
ΔE_f = -0.06 eV per atom
size of the total moment = 0.00 μB per cell



## ErNp (PBE)

Data for an optimized crystal structure of ErNp.

Lattice parameters (Å, degrees): 4.4463 4.4463 4.4463 60.00 60.00 60.00
Last column: nearest neighbours and their distance in Å.
Fractional coordinates of all 2 atoms:
Np1 0.5000 0.5000 0.5000  6 Er 3.14
Er1 0.0000 0.0000 0.0000  6 Np 3.14

## Properties
space group = Fm-3m (225)
electronic total energy = -14.8 eV/cell
ΔE_f = 1.29 eV per atom
size of the total moment = 5.78 μB per cell



## GdCoB4 (PBE)

Data for an optimized crystal structure of GdCoB4.

Lattice parameters (Å, degrees): 3.1678 3.1678 6.5479 90.00 90.00 120.00
Last column: nearest neighbours and their distance in Å.
Fractional coordinates of all 6 atoms:
B1 0.6667 0.3333 0.6961  3 B 1.83
Co1 0.0000 0.0000 0.5000  12 B 2.23
B2 0.6667 0.3333 0.3039  3 B 1.83
Gd1 0.0000 0.0000 0.0000  12 B 2.70
B3 0.3333 0.6667 0.6961  3 B 1.83
B4 0.3333 0.6667 0.3039  3 B 1.83

## Properties
space group = P6/mmm (191)
electronic total energy = -40.3 eV/cell
size of the total moment = 0.00 μB per cell



## Nd2UP3 (PBE)

Data for an optimized crystal structure of Nd2UP3.

Lattice parameters (Å, degrees): 4.0672 4.0672 10.1355 90.00 90.00 120.00
Last column: nearest neighbours and their distance in Å.
Fractional coordinates of all 6 atoms:
P1 0.3333 0.6667 0.3470  3 U 2.81, 3 Nd 2.98
Nd1 0.3333 0.6667 0.8336  6 P 2.89-2.98
U1 0.0000 0.0000 0.5000  6 P 2.81
P2 0.6667 0.3333 0.6530  3 U 2.81, 3 Nd 2.98
P3 0.0000 0.0000 0.0000  6 Nd 2.89
Nd2 0.6667 0.3333 0.1664  6 P 2.89-2.98

## Properties
space group = P-3m1 (164)
electronic total energy = -45.1 eV/cell
size of the total moment = 2.26 μB per cell